(1)
CsK2HgSb after structural relaxation. Source: the Alexandria database, functional PBE-GGA.

The energy above the most stable polymorph in this dataset is 0.042 eV per atom. As for the formation energy from raw total energies: -17 kJ per mole of atoms. For the total energy, the calculation gives -1.666 eV/atom.

The space group is P4/mmm (No. 123) and the conventional cell measures 6.831, 6.831 and 5.969 Å, with angles of 90.00, 90.00 and 90.00 degrees. The inequivalent atoms are Cs at (0.000, 0.000, 0.000), K at (0.000, 0.500, 0.500), Hg at (0.500, 0.500, 0.000) and Sb at (0.500, 0.500, 0.500).

***

(2)
SrNbTcO6 after structural relaxation. Source: the Alexandria database, functional PBE-GGA.

As for the formation energy from raw total energies: -205 kJ per mole of atoms. For the total energy, the calculation gives -7.883 eV/atom.

The space group is P4_2nm (No. 102) and the conventional cell measures 4.989, 4.989 and 9.772 Å, with angles of 90.00, 90.00 and 90.00 degrees. The inequivalent atoms are Sr at (0.000, 0.000, 0.000), Nb at (0.000, 0.000, 0.337), Tc at (0.000, 0.000, 0.671), O at (0.166, 0.166, 0.508), O at (0.222, 0.222, 0.803) and O at (0.229, 0.229, 0.202).

***

(3)
ZrSc2Si after structural relaxation. Source: the Alexandria database, functional PBE-GGA.

As for the formation energy from raw total energies: -33 kJ per mole of atoms. For the total energy, the calculation gives -7.006 eV/atom.

The space group is Immm (No. 71) and the conventional cell measures 3.664, 4.490 and 9.925 Å, with angles of 90.00, 90.00 and 90.00 degrees. The inequivalent atoms are Zr at (0.000, 0.000, 0.000), Sc at (0.000, 0.500, 0.217) and Si at (0.000, 0.000, 0.500).

***

(4)
NdSmSbN after structural relaxation. Source: the Alexandria database, functional PBE-GGA.

As for the formation energy from raw total energies: -125 kJ per mole of atoms. For the total energy, the calculation gives -6.778 eV/atom.

The space group is P4/nmm (No. 129, origin choice 2) and the conventional cell measures 4.657, 4.657 and 9.249 Å, with angles of 90.00, 90.00 and 90.00 degrees. The inequivalent atoms are Nd at (0.250, 0.250, 0.172), Sm at (0.250, 0.750, 0.500), Sb at (0.250, 0.250, 0.804) and N at (0.250, 0.250, 0.420).

***

(5)
La2Au17 after structural relaxation. Source: the Alexandria database, functional PBE-GGA.

The formation energy is -300 meV per atom. For the total energy, the calculation gives -3.751 eV/atom.

The space group is R-3m (No. 166, hexagonal axes) and the conventional cell measures 9.6745, 9.6745 and 14.3491 Å, with angles of 90.00, 90.00 and 120.00 degrees. The inequivalent atoms are La at (0.0000, 0.0000, 0.1648), Au at (0.0000, 0.0000, 0.3977), Au at (0.0000, 0.3040, 0.5000), Au at (0.0000, 0.5000, 0.0000) and Au at (0.0098, 0.5049, 0.6495).

***

(6)
AlCdTe4Au2 after structural relaxation. Source: the Alexandria database, functional PBE-GGA.

As for the formation energy from raw total energies: -24 kJ per mole of atoms. For the total energy, the calculation gives -3.222 eV/atom.

The space group is I-42m (No. 121) and the conventional cell measures 6.331, 6.331 and 12.833 Å, with angles of 90.00, 90.00 and 90.00 degrees. The inequivalent atoms are Al at (0.000, 0.000, 0.000), Cd at (0.000, 0.000, 0.500), Te at (0.237, 0.237, 0.874) and Au at (0.000, 0.500, 0.250).

***

(7)
RuPtRhW after structural relaxation. Source: the Alexandria database, functional PBE-GGA.

The formation energy is -195 meV per atom. For the total energy, the calculation gives -9.101 eV/atom.

The space group is Pmmm (No. 47) and the conventional cell measures 3.813, 3.879 and 3.994 Å, with angles of 90.00, 90.00 and 90.00 degrees. The inequivalent atoms are Ru at (0.000, 0.000, 0.000), Pt at (0.500, 0.000, 0.500), Rh at (0.000, 0.500, 0.500) and W at (0.500, 0.500, 0.000).

***

(8)
Sc2CdOs after structural relaxation. Source: the Alexandria database, functional PBE-GGA.

The formation energy is -29 meV per atom. For the total energy, the calculation gives -6.231 eV/atom.

The space group is Pmm2 (No. 25) and the conventional cell measures 3.253, 4.133 and 5.934 Å, with angles of 90.00, 90.00 and 90.00 degrees. The inequivalent atoms are Sc at (0.000, 0.000, 0.000), Sc at (0.500, 0.500, 0.301), Cd at (0.000, 0.000, 0.539) and Os at (0.500, 0.500, 0.853).

***

(9)
TaGa2Pb after structural relaxation. Source: the Alexandria database, functional PBE-GGA.

The formation energy is 499 meV per atom. For the total energy, the calculation gives -4.904 eV/atom.

The space group is I-42d (No. 122) and the conventional cell measures 7.872, 7.872 and 5.757 Å, with angles of 90.00, 90.00 and 90.00 degrees. The inequivalent atoms are Ta at (0.000, 0.000, 0.000), Ga at (0.210, 0.250, 0.125) and Pb at (0.000, 0.000, 0.500).

***

(10)
BaPBr after structural relaxation. Source: the Alexandria database, functional PBE-GGA.

The energy above the most stable polymorph in this dataset is 0.184 eV per atom. As for the formation energy from raw total energies: -60 kJ per mole of atoms. For the total energy, the calculation gives -3.625 eV/atom.

The space group is F-43m (No. 216) and the conventional cell measures 7.745, 7.745 and 7.745 Å, with angles of 90.00, 90.00 and 90.00 degrees. The inequivalent atoms are Ba at (0.000, 0.000, 0.000), P at (0.250, 0.250, 0.750) and Br at (0.250, 0.250, 0.250).